Record 1
DFT (PBE) results for crystalline PrTmSnPt at its relaxed geometry.

Properties
**DOS(E_F)**: 1.77 states/eV/f.u.
**Calculated formation energy**: -3.15 eV/f.u.

a = 7.389 Å, b = 7.389 Å, c = 7.389 Å
α = 90.00°, β = 90.00°, γ = 90.00°
Element x y z (fractional)
Pr: 0.000 0.000 0.000
Pr: 0.000 0.500 0.500
Pr: 0.500 0.000 0.500
Pr: 0.500 0.500 0.000
Tm: 0.000 0.000 0.500
Tm: 0.000 0.500 0.000
Tm: 0.500 0.000 0.000
Tm: 0.500 0.500 0.500
Sn: 0.250 0.250 0.750
Sn: 0.250 0.750 0.250
Sn: 0.750 0.250 0.250
Sn: 0.750 0.750 0.750
Pt: 0.250 0.250 0.250
Pt: 0.250 0.750 0.750
Pt: 0.750 0.250 0.750
Pt: 0.750 0.750 0.250


Record 2
DFT (PBE) results for crystalline Pr2TmSn3Pt4 at its relaxed geometry.

Properties
**DOS(E_F)**: 7.41 states/eV/f.u.
**Calculated formation energy**: -9.29 eV/f.u.

a = 4.620 Å, b = 4.620 Å, c = 11.010 Å
α = 90.00°, β = 90.00°, γ = 90.00°
Element x y z (fractional)
Pr: 0.000 0.500 0.223
Pr: 0.500 0.000 0.777
Tm: 0.000 0.000 0.500
Sn: 0.000 0.500 0.875
Sn: 0.500 0.000 0.125
Sn: 0.500 0.500 0.500
Pt: 0.000 0.000 0.000
Pt: 0.000 0.500 0.639
Pt: 0.500 0.000 0.361
Pt: 0.500 0.500 0.000


Record 3
DFT (PBE) results for crystalline PrZnSnPt at its relaxed geometry.

Properties
**DOS(E_F)**: 1.87 states/eV/f.u.
**Calculated formation energy**: -2.55 eV/f.u.

a = 7.016 Å, b = 7.016 Å, c = 7.016 Å
α = 90.00°, β = 90.00°, γ = 90.00°
Element x y z (fractional)
Pr: 0.000 0.000 0.000
Pr: 0.000 0.500 0.500
Pr: 0.500 0.000 0.500
Pr: 0.500 0.500 0.000
Zn: 0.250 0.250 0.750
Zn: 0.250 0.750 0.250
Zn: 0.750 0.250 0.250
Zn: 0.750 0.750 0.750
Sn: 0.000 0.000 0.500
Sn: 0.000 0.500 0.000
Sn: 0.500 0.000 0.000
Sn: 0.500 0.500 0.500
Pt: 0.250 0.250 0.250
Pt: 0.250 0.750 0.750
Pt: 0.750 0.250 0.750
Pt: 0.750 0.750 0.250